Here is Fe2Os after structural relaxation from Alexandria. Energies are from PBE-GGA.

a = 9.265 Å, b = 2.613 Å, c = 6.031 Å
α = 90.00°, β = 104.29°, γ = 90.00°
Space group C2/m (No. 12)
Inequivalent atoms, fractional coordinates:
Fe1 0.029 0.000 0.299 [4 per cell]
Fe2 0.136 0.500 0.030 [4 per cell]
Os1 0.191 0.500 0.647 [4 per cell]


Here is Fe3Os after structural relaxation from Alexandria. Energies are from PBE-GGA.

a = 3.576 Å, b = 3.576 Å, c = 14.666 Å
α = 90.00°, β = 90.00°, γ = 90.00°
Space group I4/mmm (No. 139)
Inequivalent atoms, fractional coordinates:
Fe1 0.000 0.000 0.125 [4 per cell]
Fe2 0.000 0.500 0.000 [4 per cell]
Fe3 0.000 0.500 0.250 [4 per cell]
Os1 0.000 0.000 0.372 [4 per cell]


Here is Fe4Os after structural relaxation from Alexandria. Energies are from PBE-GGA.

a = 3.361 Å, b = 3.361 Å, c = 10.844 Å
α = 90.00°, β = 90.00°, γ = 90.00°
Space group I4/mmm (No. 139)
Inequivalent atoms, fractional coordinates:
Fe1 0.000 0.000 0.098 [4 per cell]
Fe2 0.000 0.500 0.250 [4 per cell]
Os1 0.000 0.000 0.500 [2 per cell]


Here is FeOs5 after structural relaxation from Alexandria. Energies are from PBE-GGA.

a = 5.0173 Å, b = 5.0173 Å, c = 4.5237 Å
α = 90.00°, β = 90.00°, γ = 120.00°
Space group P6/mmm (No. 191)
Inequivalent atoms, fractional coordinates:
Fe1 0.0000 0.0000 0.0000 [1 per cell]
Os1 0.0000 0.5000 0.5000 [3 per cell]
Os2 0.3333 0.6667 0.0000 [2 per cell]


Number 1: total DFT energy (no corrections) -111.4 eV/cell, energy of formation from the pure elements 101 meV per atom. Number 2: total DFT energy (no corrections) -144.7 eV/cell, energy of formation from the pure elements 108 meV per atom. Number 3: total DFT energy (no corrections) -84.3 eV/cell, energy of formation from the pure elements 584 meV per atom. Number 4: total DFT energy (no corrections) -58.9 eV/cell, energy of formation from the pure elements 944 meV per atom.